A plane-wave DFT calculation with PBE-GGA was carried out for a geometry-optimized CsSnAs2Br structure.

## Properties
The space group is P4/mmm. As for the energy above the most stable polymorph in this dataset: 1155.8 meV per atom. The density of states at the Fermi level comes out at 4.901 states/eV/f.u. For the formation energy without anion corrections, the calculation gives 1057 meV per atom. Its calculated volume is 215.1 Å³/cell. Its crystal system is tetragonal.

Lattice parameters (Å, degrees): 5.8736 5.8736 6.2357 90.00 90.00 90.00
Atoms (fractional coordinates):
Cs: 0.0000 0.0000 0.0000
Sn: 0.5000 0.5000 0.5000
As: 0.0000 0.5000 0.0000
As: 0.5000 0.0000 0.0000
Br: 0.0000 0.0000 0.5000